Compound: Pm4ZnIn
Source: Alexandria via LeMat-Bulk
Functional: PBE-GGA
Structure: relaxed

For the total energy, the calculation gives -23.2 eV for the cell shown. As for the energy of formation: -0.03 eV/atom. The calculation puts the distance to the lowest polymorph of the same formula at 208 meV per atom.

The structure belongs to space group P4/mmm (No. 123); the cell edges are 5.147, 5.147 and 7.438 Å and the angles 90.00°, 90.00° and 90.00°. The distinct sites, in fractional coordinates, are Pm at (0.000, 0.500, 0.235), Zn at (0.000, 0.000, 0.000) and In at (0.500, 0.500, 0.500).